1.
{"formula": "SrNi10P6", "functional": "PBE", "state": "optimized geometry", "lattice": [[3.215, -8.030, 0.000], [3.215, 8.030, 0.000], [0.000, 0.000, 8.723]], "species": ["Sr", "Sr", "Ni", "Ni", "Ni", "Ni", "Ni", "Ni", "Ni", "Ni", "Ni", "Ni", "Ni", "Ni", "Ni", "Ni", "Ni", "Ni", "Ni", "Ni", "Ni", "Ni", "P", "P", "P", "P", "P", "P", "P", "P", "P", "P", "P", "P"], "fractional_positions": [[0.000, 0.000, 0.000], [0.500, 0.500, 0.500], [0.026, 0.373, 0.470], [0.044, 0.956, 0.620], [0.086, 0.414, 0.750], [0.127, 0.474, 0.030], [0.207, 0.793, 0.792], [0.293, 0.707, 0.292], [0.373, 0.026, 0.530], [0.414, 0.086, 0.250], [0.456, 0.544, 0.120], [0.474, 0.127, 0.970], [0.526, 0.873, 0.030], [0.544, 0.456, 0.880], [0.586, 0.914, 0.750], [0.627, 0.974, 0.470], [0.707, 0.293, 0.708], [0.793, 0.207, 0.208], [0.873, 0.526, 0.970], [0.914, 0.586, 0.250], [0.956, 0.044, 0.380], [0.974, 0.627, 0.530], [0.091, 0.909, 0.371], [0.144, 0.356, 0.250], [0.208, 0.792, 0.073], [0.292, 0.708, 0.573], [0.356, 0.144, 0.750], [0.409, 0.591, 0.871], [0.591, 0.409, 0.129], [0.644, 0.856, 0.250], [0.708, 0.292, 0.427], [0.792, 0.208, 0.927], [0.856, 0.644, 0.750], [0.909, 0.091, 0.629]], "final_energy_ev_per_atom": -5.92}


2.
{"formula": "KCuTe2MoSe", "functional": "PBE", "state": "optimized geometry", "lattice": [[2.004, -7.810, 0.000], [2.004, 7.810, 0.000], [0.000, 0.000, 10.208]], "species": ["K", "K", "Cu", "Cu", "Te", "Te", "Te", "Te", "Mo", "Mo", "Se", "Se"], "fractional_positions": [[0.243, 0.757, 0.750], [0.757, 0.243, 0.250], [0.027, 0.973, 0.250], [0.973, 0.027, 0.750], [0.122, 0.878, 0.045], [0.122, 0.878, 0.455], [0.878, 0.122, 0.545], [0.878, 0.122, 0.955], [0.500, 0.500, 0.000], [0.500, 0.500, 0.500], [0.438, 0.562, 0.250], [0.562, 0.438, 0.750]], "final_energy_ev_per_atom": -4.56}


3.
{"formula": "Li4Ag2SbAs", "functional": "PBE", "state": "optimized geometry", "lattice": [[4.556, 0.000, 0.000], [0.000, 4.556, 0.000], [0.000, 0.000, 6.449]], "species": ["Li", "Li", "Li", "Li", "Ag", "Ag", "Sb", "As"], "fractional_positions": [[0.000, 0.000, 0.000], [0.000, 0.500, 0.235], [0.500, 0.000, 0.765], [0.500, 0.500, 0.500], [0.000, 0.500, 0.764], [0.500, 0.000, 0.236], [0.000, 0.000, 0.500], [0.500, 0.500, 0.000]], "final_energy_ev_per_atom": -3.22}


4.
{"formula": "B4Mo3", "functional": "PBE", "state": "optimized geometry", "lattice": [[2.598, 1.500, 6.358], [-2.598, 1.500, 6.358], [0.000, -3.000, 6.358]], "species": ["B", "B", "B", "B", "B", "B", "B", "B", "Mo", "Mo", "Mo", "Mo", "Mo", "Mo"], "fractional_positions": [[0.015, 0.685, 0.351], [0.167, 0.167, 0.167], [0.315, 0.649, 0.985], [0.351, 0.015, 0.685], [0.649, 0.985, 0.315], [0.685, 0.351, 0.015], [0.833, 0.833, 0.833], [0.985, 0.315, 0.649], [0.104, 0.433, 0.763], [0.237, 0.896, 0.567], [0.433, 0.763, 0.104], [0.567, 0.237, 0.896], [0.763, 0.104, 0.433], [0.896, 0.567, 0.237]], "final_energy_ev_per_atom": -8.75}


5.
{"formula": "Gd3MgCd2Ga2Pd", "functional": "PBE", "state": "optimized geometry", "lattice": [[4.358, 0.000, 0.000], [0.000, 6.396, 3.667], [0.000, -6.396, 3.667]], "species": ["Gd", "Gd", "Gd", "Mg", "Cd", "Cd", "Ga", "Ga", "Pd"], "fractional_positions": [[0.000, 0.000, 0.000], [0.000, 0.179, 0.593], [0.000, 0.593, 0.179], [0.500, 0.358, 0.358], [0.500, 0.590, 0.838], [0.500, 0.838, 0.590], [0.500, 0.258, 0.931], [0.500, 0.931, 0.258], [0.000, 0.582, 0.582]], "final_energy_ev_per_atom": -3.76}


6.
{"formula": "CoGe3", "functional": "PBE", "state": "optimized geometry", "lattice": [[7.621, 0.000, 0.000], [-3.811, 6.600, 0.000], [0.000, 0.000, 2.804]], "species": ["Co", "Co", "Ge", "Ge", "Ge", "Ge", "Ge", "Ge"], "fractional_positions": [[0.333, 0.667, 0.250], [0.667, 0.333, 0.750], [0.186, 0.371, 0.750], [0.186, 0.814, 0.750], [0.371, 0.186, 0.250], [0.629, 0.814, 0.750], [0.814, 0.186, 0.250], [0.814, 0.629, 0.250]], "final_energy_ev_per_atom": -5.10}


7.
{"formula": "TbMgAgTeS2", "functional": "PBE", "state": "optimized geometry", "lattice": [[1.940, -6.803, 0.000], [1.940, 6.803, 0.000], [0.000, 0.000, 10.988]], "species": ["Tb", "Tb", "Mg", "Mg", "Ag", "Ag", "Te", "Te", "S", "S", "S", "S"], "fractional_positions": [[0.000, 0.000, 0.000], [0.000, 0.000, 0.500], [0.194, 0.806, 0.750], [0.806, 0.194, 0.250], [0.492, 0.508, 0.250], [0.508, 0.492, 0.750], [0.137, 0.863, 0.250], [0.863, 0.137, 0.750], [0.370, 0.630, 0.080], [0.370, 0.630, 0.420], [0.630, 0.370, 0.580], [0.630, 0.370, 0.920]], "final_energy_ev_per_atom": -4.44}


8.
{"formula": "Ba3Pa2O7", "functional": "PBE", "state": "optimized geometry", "lattice": [[-2.259, 2.259, 11.271], [2.259, -2.259, 11.271], [2.259, 2.259, -11.271]], "species": ["Ba", "Ba", "Ba", "Pa", "Pa", "O", "O", "O", "O", "O", "O", "O"], "fractional_positions": [[0.000, 0.000, 0.000], [0.187, 0.187, 0.000], [0.813, 0.813, 0.000], [0.399, 0.399, 0.000], [0.601, 0.601, 0.000], [0.097, 0.597, 0.500], [0.298, 0.298, 0.000], [0.403, 0.903, 0.500], [0.500, 0.500, 0.000], [0.597, 0.097, 0.500], [0.702, 0.702, 0.000], [0.903, 0.403, 0.500]], "final_energy_ev_per_atom": -7.72}


9.
{"formula": "Pr3Ga8Ag3", "functional": "PBE", "state": "optimized geometry", "lattice": [[-2.209, 4.820, 6.690], [2.209, -4.820, 6.690], [2.209, 4.820, -6.690]], "species": ["Pr", "Pr", "Pr", "Ga", "Ga", "Ga", "Ga", "Ga", "Ga", "Ga", "Ga", "Ag", "Ag", "Ag"], "fractional_positions": [[0.000, 0.000, 0.000], [0.302, 0.302, 0.000], [0.698, 0.698, 0.000], [0.027, 0.660, 0.367], [0.136, 0.856, 0.280], [0.292, 0.660, 0.633], [0.424, 0.144, 0.280], [0.576, 0.856, 0.720], [0.708, 0.340, 0.367], [0.864, 0.144, 0.720], [0.973, 0.340, 0.633], [0.301, 0.500, 0.801], [0.500, 0.000, 0.500], [0.699, 0.500, 0.199]], "final_energy_ev_per_atom": -3.85}


10.
{"formula": "ErZnCuS3", "functional": "PBE", "state": "optimized geometry", "lattice": [[1.823, -5.968, 0.000], [1.823, 5.968, 0.000], [0.000, 0.000, 10.266]], "species": ["Er", "Er", "Zn", "Zn", "Cu", "Cu", "S", "S", "S", "S", "S", "S"], "fractional_positions": [[0.000, 0.000, 0.000], [0.000, 0.000, 0.500], [0.236, 0.764, 0.750], [0.764, 0.236, 0.250], [0.480, 0.520, 0.250], [0.520, 0.480, 0.750], [0.107, 0.893, 0.250], [0.352, 0.648, 0.084], [0.352, 0.648, 0.416], [0.648, 0.352, 0.584], [0.648, 0.352, 0.916], [0.893, 0.107, 0.750]], "final_energy_ev_per_atom": -4.59}


11.
{"formula": "DySbN2O", "functional": "PBE", "state": "optimized geometry", "lattice": [[-4.055, 2.785, 2.812], [4.055, -2.785, 2.812], [4.055, 2.785, -2.812]], "species": ["Dy", "Dy", "Sb", "Sb", "N", "N", "N", "N", "O", "O"], "fractional_positions": [[0.032, 0.250, 0.282], [0.968, 0.750, 0.718], [0.505, 0.005, 0.500], [0.505, 0.505, 0.000], [0.005, 0.184, 0.682], [0.005, 0.824, 0.321], [0.502, 0.324, 0.318], [0.502, 0.684, 0.679], [0.398, 0.766, 0.132], [0.634, 0.266, 0.868]], "final_energy_ev_per_atom": -6.99}


12.
{"formula": "TaNb2B4", "functional": "PBE", "state": "optimized geometry", "lattice": [[-1.574, 1.654, 7.064], [1.574, -1.654, 7.064], [1.574, 1.654, -7.064]], "species": ["Ta", "Nb", "Nb", "B", "B", "B", "B"], "fractional_positions": [[0.000, 0.000, 0.000], [0.185, 0.685, 0.500], [0.815, 0.315, 0.500], [0.368, 0.868, 0.500], [0.436, 0.436, 0.000], [0.564, 0.564, 0.000], [0.632, 0.132, 0.500]], "final_energy_ev_per_atom": -9.15}